12
Lattice="5.797 0.000 0.000 -2.898 5.020 0.000 0.000 0.000 6.862" Properties=species:S:1:pos:R:3 comment="SrCuOs2O8 PBE-GGA optimized geometry" m_tot_mub_per_cell=3.0 formation_energy_uncorrected_ev_per_fu=-13.69 pbc="T T T"
Sr 0.000 0.000 0.000
Cu 0.000 0.000 3.431
Os 2.898 1.673 1.623
Os 0.000 3.347 5.240
O 0.000 3.347 0.172
O 1.386 0.792 2.057
O 4.417 0.804 2.057
O 2.898 1.673 6.690
O -1.519 4.216 4.805
O 1.512 4.228 4.805
O 0.007 1.597 4.805
O 2.891 3.423 2.057


4
Lattice="-0.158 -2.402 4.768 3.722 -3.602 1.300 3.668 1.168 3.701" Properties=species:S:1:pos:R:3 comment="CeLuPuPa PBE-GGA optimized geometry" m_tot_mub_per_cell=8.9 delta_e_f_ev_per_atom=0.29 pbc="T T T"
Pa 5.425 -3.627 7.327
Lu 1.808 -1.209 2.442
Ce 0.000 0.000 0.000
Pu 3.616 -2.418 4.885


4
Lattice="-0.893 -3.353 -3.585 2.361 -4.395 0.051 -2.521 -4.173 1.059" Properties=species:S:1:pos:R:3 comment="MgAl2Te PBE-GGA optimized geometry" m_tot_mub_per_cell=0.0 formation_energy_uncorrected_ev_per_fu=0.61 pbc="T T T"
Al 0.000 0.000 0.000
Al -0.263 -2.980 -0.619
Mg -0.527 -5.961 -1.238
Te -0.790 -8.941 -1.856


8
Lattice="-1.547 0.888 -4.575 -1.610 -4.625 -0.354 -9.407 0.617 0.665" Properties=species:S:1:pos:R:3 comment="BaTc2Ir PBE-GGA optimized geometry" m_tot_mub_per_cell=0.0 delta_e_f_ev_per_atom=0.81 pbc="T T T"
Ir 0.000 0.000 0.000
Ir -6.266 -0.182 -3.187
Ba -1.578 -1.869 -2.464
Ba -6.298 -2.939 -1.077
Tc -3.906 0.353 -3.881
Tc -4.711 -1.959 -4.058
Tc -7.836 0.218 -1.261
Tc -8.610 0.662 -3.549


Computed total DFT energy (no corrections) (eV per formula unit) in order:
-81.59; -33.14; -11.61; -28.26